(1)
# TlW2Au

A relaxed structure of TlW2Au (PBE-GGA, Alexandria via LeMat-Bulk).

```
data_TlW2Au
_symmetry_space_group_name_H-M 'P m m m'
_symmetry_Int_Tables_number 47
_symmetry_space_group_name_Hall '-P 2 2'
_cell_length_a 2.8500
_cell_length_b 4.3924
_cell_length_c 5.8314
_cell_angle_alpha 90.00
_cell_angle_beta 90.00
_cell_angle_gamma 90.00
loop_
_atom_site_label
_atom_site_fract_x
_atom_site_fract_y
_atom_site_fract_z
Tl1 0.0000 0.0000 0.0000
W1 0.5000 0.5000 0.2798
Au1 0.0000 0.0000 0.5000
```

formation energy: 0.840 eV per atom
DOS at the Fermi energy: 2.79 states/eV/cell

---

(2)
# PuTa2NbO8

A relaxed structure of PuTa2NbO8 (PBE-GGA, Alexandria via LeMat-Bulk).

```
data_PuTa2NbO8
_symmetry_space_group_name_H-M 'C 1 2/m 1'
_symmetry_Int_Tables_number 12
_symmetry_space_group_name_Hall '-C 2y'
_cell_length_a 6.9872
_cell_length_b 6.9808
_cell_length_c 6.3899
_cell_angle_alpha 90.00
_cell_angle_beta 90.40
_cell_angle_gamma 90.00
loop_
_atom_site_label
_atom_site_fract_x
_atom_site_fract_y
_atom_site_fract_z
Pu1 0.0000 0.0000 0.0000
Ta1 0.0226 0.5000 0.2574
Nb1 0.0000 0.0000 0.5000
O1 0.0148 0.2157 0.2761
O2 0.1761 0.5000 0.9906
O3 0.1950 0.5000 0.5227
```

DOS at the Fermi energy: 16.16 states/eV/cell
uncorrected formation energy: -32.08 eV per formula unit

---

(3)
# NbAlS3

A relaxed structure of NbAlS3 (PBE-GGA, Alexandria via LeMat-Bulk).

```
data_NbAlS3
_symmetry_space_group_name_H-M 'P m -3 m'
_symmetry_Int_Tables_number 221
_symmetry_space_group_name_Hall '-P 4 2 3'
_cell_length_a 4.8329
_cell_length_b 4.8329
_cell_length_c 4.8329
_cell_angle_alpha 90.00
_cell_angle_beta 90.00
_cell_angle_gamma 90.00
loop_
_atom_site_label
_atom_site_fract_x
_atom_site_fract_y
_atom_site_fract_z
Nb1 0.0000 0.0000 0.0000
Al1 0.5000 0.5000 0.5000
S1 0.0000 0.0000 0.5000
```

DOS at the Fermi energy: 2.62 states/eV/cell
uncorrected formation energy: -1.43 eV per formula unit